Below is a relaxed structure of TbNd3Sm6Th2, with properties calculated at the GGA-PBE level.

Structure (POSCAR):
```
TbNd3Sm6Th2
1.0
3.142 -5.435 0.000
3.142 5.435 0.000
-2.099 0.000 11.854
Tb Nd Sm Th
1 3 6 2
Cartesian
0.000 0.000 0.000
2.093 3.624 5.927
2.093 0.000 5.927
2.093 -3.624 5.927
1.058 1.834 2.898
0.023 0.000 8.955
1.058 -1.834 2.898
3.127 1.834 8.956
4.162 0.000 2.899
3.127 -1.834 8.956
3.142 1.811 0.000
3.142 -1.811 0.000
```

For the formation energy from the elements, the calculation gives 0.3 eV per formula unit. The crystal system is monoclinic.

Below is a relaxed structure of Y4Fe5, with properties calculated at the GGA-PBE level.

Structure (POSCAR):
```
Y4Fe5
1.0
8.374 0.000 0.000
-4.187 7.252 0.000
0.000 0.000 5.736
Y Fe
8 10
Cartesian
0.000 0.000 0.000
0.000 0.000 2.868
-1.559 2.700 1.434
-2.628 4.552 4.302
3.117 0.000 1.434
1.559 2.700 4.302
5.256 0.000 4.302
2.628 4.552 1.434
-1.302 2.255 4.302
-2.885 4.997 1.434
2.603 0.000 4.302
1.302 2.255 1.434
0.000 4.835 0.000
0.000 4.835 2.868
4.187 2.417 0.000
4.187 2.417 2.868
5.770 0.000 1.434
2.885 4.997 4.302
```

For the formation energy from the elements, the calculation gives 3.3 eV per formula unit. The crystal system is hexagonal.

Below is a relaxed structure of Sr2Mo2Se, with properties calculated at the GGA-PBE level.

Structure (POSCAR):
```
Sr2Mo2Se
1.0
8.265 0.000 0.000
0.000 8.265 0.000
0.000 0.000 5.001
Sr Mo Se
4 4 2
Cartesian
1.518 2.615 0.000
2.615 6.748 0.000
5.650 1.518 0.000
6.748 5.650 0.000
0.723 4.856 2.501
3.409 0.723 2.501
4.856 7.542 2.501
7.542 3.409 2.501
0.000 0.000 0.000
4.133 4.133 0.000
```

The crystal system is tetragonal. The value obtained for the raw formation energy is 0.53 eV/atom.

Below is a relaxed structure of LaCr3Fe, with properties calculated at the GGA-PBE level.

Structure (POSCAR):
```
LaCr3Fe
1.0
4.513 0.000 0.000
0.000 4.513 0.000
0.000 0.000 4.513
La Cr Fe
1 3 1
Cartesian
0.000 0.000 0.000
0.000 2.256 2.256
2.256 0.000 2.256
2.256 2.256 0.000
2.256 2.256 2.256
```

For the formation energy from the elements, the calculation gives 3.5 eV per formula unit. The crystal system is cubic.

Below is a relaxed structure of Dy2GaNi, with properties calculated at the GGA-PBE level.

Structure (POSCAR):
```
Dy2GaNi
1.0
3.426 0.000 0.000
0.000 3.426 0.000
0.000 0.000 7.191
Dy Ga Ni
2 1 1
Cartesian
0.000 0.000 1.655
0.000 0.000 5.536
1.713 1.713 3.595
1.713 1.713 0.000
```

For the formation energy from the elements, the calculation gives -1.9 eV per formula unit. The crystal system is tetragonal.

Below is a relaxed structure of Li2Be2GaNi5, with properties calculated at the GGA-PBE level.

Structure (POSCAR):
```
Li2Be2GaNi5
1.0
8.495 0.000 0.000
0.000 8.495 0.000
0.000 0.000 3.123
Li Be Ga Ni
4 4 2 10
Cartesian
1.482 2.765 0.000
2.765 7.013 0.000
5.730 1.482 0.000
7.013 5.730 0.000
1.042 5.290 0.000
3.205 1.042 0.000
5.290 7.453 0.000
7.453 3.205 0.000
0.000 0.000 0.000
4.248 4.248 0.000
0.000 4.248 1.561
0.587 6.700 1.561
1.795 0.587 1.561
2.452 4.834 1.561
3.661 2.452 1.561
4.248 0.000 1.561
4.834 6.043 1.561
6.043 3.661 1.561
6.700 7.908 1.561
7.908 1.795 1.561
```

For the formation energy from the elements, the calculation gives -2.0 eV per formula unit. The crystal system is tetragonal.

Below is a relaxed structure of Sr2ZnBiS5, with properties calculated at the GGA-PBE level.

Structure (POSCAR):
```
Sr2ZnBiS5
1.0
2.013 -8.616 0.000
2.013 8.616 0.000
0.000 0.000 12.831
Sr Zn Bi S
4 2 2 10
Cartesian
2.013 6.903 6.416
2.013 6.419 1.974
2.013 -6.419 8.389
2.013 -6.903 0.000
2.013 0.905 3.182
2.013 -0.905 9.597
2.013 5.050 10.995
2.013 -5.050 4.579
2.013 7.934 10.827
2.013 3.807 6.517
2.013 3.311 2.632
2.013 2.422 10.681
2.013 0.153 7.561
2.013 -0.153 1.146
2.013 -2.422 4.266
2.013 -3.311 9.048
2.013 -3.807 0.101
2.013 -7.934 4.411
```

The crystal system is orthorhombic. The value obtained for the raw formation energy is -1.14 eV/atom.

Below is a relaxed structure of Nd4P2SeN, with properties calculated at the GGA-PBE level.

Structure (POSCAR):
```
Nd4P2SeN
1.0
-3.595 3.595 3.995
3.595 -3.595 3.995
3.595 3.595 -3.995
Nd P Se N
4 2 1 1
Cartesian
2.013 -2.013 3.217
1.582 1.582 0.778
-2.013 2.013 3.217
2.013 2.013 4.773
3.595 0.000 1.997
0.000 3.595 1.997
0.000 0.000 3.995
0.000 0.000 0.000
```

The crystal system is tetragonal. The value obtained for the raw formation energy is -1.25 eV/atom.

Below is a relaxed structure of SmCdPd2, with properties calculated at the GGA-PBE level.

Structure (POSCAR):
```
SmCdPd2
1.0
4.789 0.000 0.000
0.000 4.789 0.000
0.000 0.000 3.503
Sm Cd Pd
1 1 2
Cartesian
0.000 0.000 0.000
2.395 2.395 0.000
0.000 2.395 1.751
2.395 0.000 1.751
```

For the formation energy from the elements, the calculation gives -2.4 eV per formula unit. The crystal system is tetragonal.

Below is a relaxed structure of Ba2HgSb2, with properties calculated at the GGA-PBE level.

Structure (POSCAR):
```
Ba2HgSb2
1.0
6.632 -2.437 0.000
6.632 2.437 0.000
-6.479 0.000 11.304
Ba Hg Sb
4 2 4
Cartesian
-1.759 0.000 4.487
-0.897 0.000 9.515
7.682 0.000 1.789
8.543 0.000 6.817
3.584 0.000 1.746
3.201 0.000 9.558
-4.810 0.000 10.380
1.885 0.000 4.195
4.900 0.000 7.109
11.595 0.000 0.924
```

The crystal system is monoclinic. The value obtained for the raw formation energy is -0.79 eV/atom.

Below is a relaxed structure of Pm3OsBr, with properties calculated at the GGA-PBE level.

Structure (POSCAR):
```
Pm3OsBr
1.0
3.889 0.000 0.000
0.000 9.525 0.000
0.000 0.000 8.383
Pm Os Br
6 2 2
Cartesian
0.972 0.696 1.277
0.972 2.381 6.199
0.972 4.067 1.277
2.916 5.458 7.107
2.916 7.143 2.184
2.916 8.829 7.107
0.972 7.143 0.230
2.916 2.381 8.153
0.972 7.143 4.743
2.916 2.381 3.640
```

The crystal system is orthorhombic. The value obtained for the raw formation energy is -0.51 eV/atom.

Below is a relaxed structure of Ti7CoPd4, with properties calculated at the GGA-PBE level.

Structure (POSCAR):
```
Ti7CoPd4
1.0
4.392 0.000 0.000
-2.196 3.804 0.000
0.000 0.000 11.284
Ti Co Pd
7 1 4
Cartesian
0.000 0.000 0.000
0.000 0.000 3.043
0.000 0.000 8.240
0.000 2.536 1.783
0.000 2.536 4.805
2.196 1.268 6.478
2.196 1.268 9.501
0.000 0.000 5.642
0.000 2.536 7.477
0.000 2.536 10.209
2.196 1.268 1.075
2.196 1.268 3.806
```

For the formation energy from the elements, the calculation gives -3.9 eV per formula unit. The crystal system is trigonal.

Below is a relaxed structure of SiOsSe2, with properties calculated at the GGA-PBE level.

Structure (POSCAR):
```
SiOsSe2
1.0
1.537 0.887 8.845
-1.537 0.887 8.845
0.000 -1.774 8.845
Si Os Se
1 1 2
Cartesian
0.000 0.000 0.000
0.000 0.000 13.267
0.000 0.000 6.292
0.000 0.000 20.242
```

The crystal system is trigonal. The value obtained for the raw formation energy is 0.53 eV/atom.

Below is a relaxed structure of TmIn6Ni4, with properties calculated at the GGA-PBE level.

Structure (POSCAR):
```
TmIn6Ni4
1.0
-3.340 3.340 4.815
3.340 -3.340 4.815
3.340 3.340 -4.815
Tm In Ni
1 6 4
Cartesian
0.000 0.000 0.000
3.340 0.000 0.000
1.186 -1.186 2.765
-1.186 1.186 2.765
0.000 3.340 0.000
2.154 2.154 2.051
1.186 1.186 6.866
2.225 2.225 -0.643
1.115 -1.115 5.458
1.115 1.115 4.172
-1.115 1.115 5.458
```

For the formation energy from the elements, the calculation gives -2.9 eV per formula unit. The crystal system is tetragonal.

Below is a relaxed structure of AlSbRh2, with properties calculated at the GGA-PBE level.

Structure (POSCAR):
```
AlSbRh2
1.0
4.318 0.000 0.000
0.000 3.185 0.000
-2.089 0.000 4.775
Al Sb Rh
1 1 2
Cartesian
0.000 0.000 0.000
-1.045 1.593 2.388
1.114 0.000 2.388
2.159 1.593 0.000
```

The crystal system is monoclinic. The value obtained for the raw formation energy is -0.44 eV/atom.

Below is a relaxed structure of Ca2TaSe, with properties calculated at the GGA-PBE level.

Structure (POSCAR):
```
Ca2TaSe
1.0
0.000 3.669 3.669
3.669 0.000 3.669
3.669 3.669 0.000
Ca Ta Se
2 1 1
Cartesian
0.000 0.000 0.000
1.834 1.834 1.834
3.669 3.669 3.669
5.503 5.503 5.503
```

The crystal system is cubic. The value obtained for the raw formation energy is 0.50 eV/atom.

Below is a relaxed structure of SrNi3As2, with properties calculated at the GGA-PBE level.

Structure (POSCAR):
```
SrNi3As2
1.0
7.571 -1.951 0.000
7.571 1.951 0.000
-3.008 0.000 6.869
Sr Ni As
2 6 4
Cartesian
2.051 0.000 0.425
10.084 0.000 6.444
-0.488 0.000 2.687
3.091 0.000 3.779
5.184 0.000 2.409
6.951 0.000 4.460
9.044 0.000 3.090
12.623 0.000 4.182
0.853 0.000 4.599
4.825 0.000 5.413
7.309 0.000 1.456
11.281 0.000 2.270
```

For the formation energy from the elements, the calculation gives -3.3 eV per formula unit. The crystal system is monoclinic.

Below is a relaxed structure of TlFe2Pt, with properties calculated at the GGA-PBE level.

Structure (POSCAR):
```
TlFe2Pt
1.0
4.526 -1.475 0.000
4.526 1.475 0.000
-1.170 0.000 4.786
Tl Fe Pt
1 2 1
Cartesian
0.000 0.000 0.000
1.248 0.000 3.502
4.102 0.000 2.477
6.638 0.000 1.458
```

For the formation energy from the elements, the calculation gives 0.9 eV per formula unit. The crystal system is monoclinic.

Below is a relaxed structure of Cs2OsS4, with properties calculated at the GGA-PBE level.

Structure (POSCAR):
```
Cs2OsS4
1.0
7.505 0.000 0.000
0.000 7.224 0.000
-2.831 0.000 9.969
Cs Os S
4 2 8
Cartesian
0.315 1.806 4.368
-0.642 1.806 9.653
5.316 5.418 0.315
4.359 5.418 5.600
1.711 5.418 2.229
2.963 1.806 7.740
-0.183 5.418 3.324
1.403 5.418 0.068
2.894 3.661 2.754
2.894 7.175 2.754
1.780 0.049 7.215
1.780 3.563 7.215
3.271 1.806 9.900
4.857 1.806 6.644
```

The crystal system is monoclinic. The value obtained for the raw formation energy is -0.65 eV/atom.

Below is a relaxed structure of Pm5Bi4Pb, with properties calculated at the GGA-PBE level.

Structure (POSCAR):
```
Pm5Bi4Pb
1.0
-5.111 5.111 3.233
5.111 -5.111 3.233
5.111 5.111 -3.233
Pm Bi Pb
5 4 1
Cartesian
0.000 0.000 0.000
4.082 2.046 0.004
3.065 -1.029 3.238
2.046 6.140 0.004
1.029 3.065 3.238
7.150 1.013 0.004
1.013 3.072 0.004
4.098 2.039 3.237
-2.039 4.098 3.237
0.000 0.000 3.233
```

For the formation energy from the elements, the calculation gives -8.3 eV per formula unit. The crystal system is tetragonal.

Below is a relaxed structure of PrNd7Cd2, with properties calculated at the GGA-PBE level.

Structure (POSCAR):
```
PrNd7Cd2
1.0
4.588 -8.016 0.000
4.588 8.016 0.000
0.000 0.000 5.458
Pr Nd Cd
1 7 2
Cartesian
0.000 0.000 0.000
1.678 1.907 2.729
4.588 4.369 0.000
1.678 -1.907 2.729
4.588 0.000 2.729
7.498 1.907 2.729
4.588 -4.369 0.000
7.498 -1.907 2.729
4.588 3.150 2.729
4.588 -3.150 2.729
```

For the formation energy from the elements, the calculation gives 3.6 eV per formula unit. The crystal system is orthorhombic.

Below is a relaxed structure of RbPt2Se, with properties calculated at the GGA-PBE level.

Structure (POSCAR):
```
RbPt2Se
1.0
0.000 3.482 3.482
3.482 0.000 3.482
3.482 3.482 0.000
Rb Pt Se
1 2 1
Cartesian
0.000 0.000 0.000
1.741 1.741 1.741
5.223 5.223 5.223
3.482 3.482 3.482
```

The crystal system is cubic. The value obtained for the raw formation energy is 0.69 eV/atom.

Below is a relaxed structure of Nd4Sm3Er3, with properties calculated at the GGA-PBE level.

Structure (POSCAR):
```
Nd4Sm3Er3
1.0
3.830 0.000 0.000
0.000 6.659 6.634
0.000 -6.659 6.634
Nd Sm Er
4 3 3
Cartesian
0.000 0.000 0.000
0.000 0.000 3.426
0.000 -1.740 8.367
0.000 1.740 8.367
0.000 -3.368 5.025
0.000 3.368 5.025
1.915 0.000 6.115
1.915 -4.412 8.345
1.915 0.000 10.596
1.915 4.412 8.345
```

For the formation energy from the elements, the calculation gives 1.0 eV per formula unit. The crystal system is orthorhombic.

| no. | total moment (μB per atom) |
| --- | --- |
| 1 | 0.000 |
| 2 | 1.011 |
| 3 | 0.000 |
| 4 | 1.363 |
| 5 | 0.000 |
| 6 | 0.000 |
| 7 | 0.000 |
| 8 | 0.000 |
| 9 | 0.000 |
| 10 | 0.000 |
| 11 | 0.000 |
| 12 | 0.049 |
| 13 | 0.000 |
| 14 | 0.000 |
| 15 | 0.000 |
| 16 | 0.732 |
| 17 | 0.000 |
| 18 | 1.440 |
| 19 | 0.294 |
| 20 | 0.000 |
| 21 | 0.000 |
| 22 | 0.000 |
| 23 | 0.000 |